Li2FeNiP2O8: optimized geometry, PBEsol.

Structure (POSCAR):
```
Li2FeNiP2O8
1.0
-4.197 -0.218 -2.052
1.072 -5.586 -1.598
-3.966 -3.236 8.649
O Li P Fe Ni
16 4 4 2 2
direct
0.221 0.957 0.166
0.753 0.750 0.096
0.798 0.250 0.050
0.249 0.250 0.402
0.202 0.750 0.950
0.247 0.250 0.904
0.294 0.750 0.454
0.751 0.750 0.598
0.779 0.043 0.834
0.711 0.040 0.332
0.706 0.250 0.546
0.289 0.960 0.668
0.711 0.460 0.332
0.289 0.540 0.668
0.779 0.457 0.834
0.221 0.543 0.166
0.000 0.000 0.500
0.000 0.500 0.500
0.500 0.500 0.000
0.500 0.000 0.000
0.423 0.750 0.597
0.577 0.250 0.403
0.920 0.250 0.908
0.080 0.750 0.092
0.519 0.750 0.277
0.481 0.250 0.723
0.978 0.750 0.777
0.022 0.250 0.223
```

Results
Formation energy (no corrections)   -1.894 eV per atom